The following is a DFT calculation (PBE) of a relaxed structure of K2ZrTe2S6.

Results
**Magnetization**: 0.00 μB/f.u.
**Energy relative to the elements, uncorrected**: -0.6711 eV per atom
**Final energy**: -4.47 eV per atom
**Space-group type**: C2/m (12)

```
K2ZrTe2S6
1.0
-3.277 -6.293 -0.204
8.441 -0.392 -0.014
-3.369 1.545 6.475
S K Zr Te
6 2 1 2
Direct
0.155 0.821 0.204
0.666 0.821 0.204
0.334 0.179 0.796
0.325 0.650 0.423
0.845 0.179 0.796
0.675 0.350 0.577
0.269 0.538 0.775
0.731 0.462 0.225
0.500 0.000 0.500
0.979 0.957 0.781
0.021 0.043 0.219
```